Record 1
# CrSbP2O8

A geometry-optimized CrSbP2O8 structure (GGA-PBEsol, Alexandria via LeMat-Bulk).

Cell and atoms, written as POSCAR:
```
CrSbP2O8
1.0
4.8266 0.0000 -0.1408
0.0000 5.7607 0.0000
-1.3415 0.0000 10.8147
O Cr Sb P
16 2 2 4
Cartesian
0.3768 0.2536 7.4488 O
3.1083 3.1339 3.2251 O
3.2878 1.4402 1.0689 O
1.0640 0.2082 1.3581 O
3.7867 4.3205 5.4146 O
0.3768 2.6268 7.4488 O
2.4211 3.0885 9.3158 O
0.1972 4.3205 9.6050 O
0.2985 1.4402 10.0071 O
2.9432 1.4402 7.1250 O
0.5419 4.3205 3.5489 O
3.1083 5.5071 3.2251 O
2.4211 5.5525 9.3158 O
1.0640 2.6722 1.3581 O
3.1866 4.3205 0.6668 O
-0.3017 1.4402 5.2593 O
1.5858 1.4402 8.5772 Cr
1.8992 4.3205 2.0968 Cr
4.4309 1.4402 2.7555 Sb
-0.9459 4.3205 7.9184 Sb
1.7905 1.4402 0.7087 P
3.9314 4.3205 3.9321 P
1.6946 4.3205 9.9652 P
-0.4464 1.4402 6.7419 P
```

Summary:
SG: P2_1/m, No. 11
Formation energy without anion corrections: -1.93 eV per atom

Record 2
# Cr3SbP4O16

A geometry-optimized Cr3SbP4O16 structure (GGA-PBEsol, Alexandria via LeMat-Bulk).

Cell and atoms, written as POSCAR:
```
Cr3SbP4O16
1.0
4.7899 0.0000 0.0061
0.0000 5.7155 0.0000
-0.1672 0.0000 10.0251
O Cr P Sb
16 3 4 1
Cartesian
3.9734 2.8577 5.6289 O
3.5416 4.0457 8.3862 O
1.1823 4.5054 6.8542 O
0.6673 2.8577 3.5774 O
1.2220 4.4906 1.4522 O
1.2220 1.2249 1.4522 O
3.1882 1.6899 3.4305 O
0.9142 0.0000 4.6521 O
3.7631 0.0000 6.2647 O
3.2559 2.8577 0.6254 O
1.1823 1.2100 6.8542 O
3.5416 1.6697 8.3862 O
1.4097 0.0000 9.2793 O
3.4123 0.0000 0.9599 O
1.2934 2.8577 8.9193 O
3.1882 4.0256 3.4305 O
2.0617 2.8577 2.2009 Cr
0.1465 2.8577 7.3948 Cr
2.5676 0.0000 7.7646 Cr
0.4850 0.0000 6.0920 P
1.9082 0.0000 0.7321 P
2.8000 2.8577 9.1500 P
4.0303 2.8577 4.1183 P
4.5153 0.0000 2.7685 Sb
```

Summary:
SG: Pm, No. 6
Formation energy without anion corrections: -1.97 eV per atom

Record 3
# CrSbPO2

A geometry-optimized CrSbPO2 structure (GGA-PBEsol, Alexandria via LeMat-Bulk).

Cell and atoms, written as POSCAR:
```
CrSbPO2
1.0
-3.2277 -1.7245 1.2275
1.9078 -3.3397 0.3246
1.2541 1.2010 4.9849
O P Cr Sb
2 1 1 1
Cartesian
0.9539 -1.6698 0.1623 O
-1.6138 -0.8623 0.6138 O
0.6271 0.6005 2.4925 P
-0.0328 -1.9316 3.2685 Cr
0.0000 0.0000 0.0000 Sb
```

Summary:
SG: P4/mmm, No. 123
Formation energy without anion corrections: -0.18 eV per atom

Record 4
# Ti3CrSb2P6O24

A geometry-optimized Ti3CrSb2P6O24 structure (GGA-PBEsol, Alexandria via LeMat-Bulk).

Cell and atoms, written as POSCAR:
```
Ti3CrSb2P6O24
1.0
-4.9430 -6.5099 -1.7063
-1.5961 -5.6896 5.8995
-8.2247 -0.0605 3.6258
O Ti Cr Sb P
24 3 1 2 6
Cartesian
-3.6414 -4.2802 5.1009 O
-7.5241 -5.6506 8.1140 O
-5.2002 -3.7114 3.1607 O
-8.3992 -5.0400 5.8338 O
-6.7010 -7.9170 6.6504 O
-7.4239 -2.2361 2.2469 O
-2.9134 -4.7771 2.8051 O
-7.2011 -6.5913 -0.4018 O
-4.8222 -6.0929 3.7610 O
-8.6161 -7.8406 1.3172 O
-9.8082 -6.1985 4.0939 O
-11.4446 -8.3868 7.7088 O
-6.2726 -7.2345 1.8785 O
-11.0255 -7.9665 2.7785 O
-3.3815 -4.0025 0.1425 O
-6.1179 -8.3316 4.2708 O
-8.6028 -4.0603 3.5200 O
-7.3498 -10.1383 5.5722 O
-13.0365 -9.7756 5.8868 O
-1.7329 -2.4334 1.7943 O
-9.4746 -8.5295 4.7597 O
-11.7606 -7.4190 5.1115 O
-8.1117 -4.4697 1.1580 O
-6.1135 -4.3608 6.3836 O
-4.7332 -7.8853 2.9332 Ti
-10.1793 -4.2761 4.9406 Ti
-5.5170 -1.8549 2.6278 Ti
-9.2527 -10.4012 5.1933 Cr
-6.6536 -12.1236 4.2354 Sb
-7.6886 -5.9267 4.0225 Sb
-8.4912 -3.3326 2.0996 P
-4.1682 -4.7032 3.7112 P
-10.5530 -7.6106 4.1973 P
-7.4747 -4.5485 7.0435 P
-6.3054 -9.0016 5.6410 P
-7.2126 -7.6404 0.7325 P
```

Summary:
SG: R3, No. 146
Formation energy without anion corrections: -2.22 eV per atom

Record 5
# V3CrSb2P6O24

A geometry-optimized V3CrSb2P6O24 structure (GGA-PBEsol, Alexandria via LeMat-Bulk).

Cell and atoms, written as POSCAR:
```
V3CrSb2P6O24
1.0
-2.8019 -4.0385 -6.9914
5.5821 -2.9014 -5.7847
1.2775 -8.6103 -0.7619
O V Sb P Cr
24 3 2 6 1
Cartesian
4.1715 -6.7523 -4.0766 O
1.0997 -5.6544 -6.5346 O
0.6206 -9.4731 -5.9990 O
1.7708 -8.0509 -10.9802 O
5.3260 -5.1924 -6.1894 O
1.2955 -6.8996 -8.7967 O
0.3476 -3.5382 -5.3422 O
-1.2750 -5.3305 -5.7759 O
3.4311 -6.0995 -7.5700 O
-1.2909 -10.3728 -7.3650 O
3.7299 -12.0091 -8.2044 O
0.6217 -5.8058 -4.1297 O
5.3630 -10.2263 -7.7686 O
-1.4703 -8.1768 -6.0759 O
-0.1276 -8.7961 -9.4394 O
3.4607 -9.7496 -9.4028 O
5.5182 -7.3920 -7.4772 O
2.9942 -9.8913 -6.9902 O
2.2798 -7.4883 -2.5288 O
1.4650 -12.9611 -9.6915 O
2.7326 -8.6437 -4.7173 O
4.1218 -13.3736 -10.7008 O
2.5877 -2.5742 -3.8312 O
-0.0798 -2.1791 -2.8521 O
2.9334 -9.6903 -11.2487 V
2.1814 -10.5132 -5.2485 V
1.8752 -5.0173 -8.3004 V
2.0273 -7.7470 -6.7846 Sb
1.2773 -8.6066 -0.7640 Sb
3.8617 -10.4955 -8.1413 P
0.2172 -5.0511 -5.3817 P
3.4239 -7.9440 -3.5027 P
4.9968 -5.9680 -7.5123 P
-0.9365 -9.5990 -6.0456 P
0.6107 -7.6065 -10.0228 P
1.1248 -5.8685 -2.2844 Cr
```

Summary:
SG: R3, No. 146
Formation energy without anion corrections: -2.07 eV per atom

Record 6
# ScCrPO2

A geometry-optimized ScCrPO2 structure (GGA-PBEsol, Alexandria via LeMat-Bulk).

Cell and atoms, written as POSCAR:
```
ScCrPO2
1.0
-3.2758 -1.5707 1.3407
-0.8080 -1.3388 -3.5426
2.6289 -4.5325 1.1133
Cr O P Sc
1 2 1 1
Cartesian
-0.7274 -3.7210 -0.5443 Cr
-0.4040 -0.6694 -1.7713 O
-1.6379 -0.7853 0.6704 O
1.3145 -2.2663 0.5567 P
0.0000 0.0000 0.0000 Sc
```

Summary:
SG: P4/mmm, No. 123
Formation energy without anion corrections: -0.77 eV per atom

Record 7
# ScCrP2O

A geometry-optimized ScCrP2O structure (GGA-PBEsol, Alexandria via LeMat-Bulk).

Cell and atoms, written as POSCAR:
```
ScCrP2O
1.0
-0.0362 0.7193 3.3823
-4.3941 -1.4843 0.2686
1.5076 -4.2949 0.9295
Sc O P Cr
1 1 2 1
Cartesian
-1.4613 -2.5300 2.2902 Sc
-0.0181 0.3597 1.6912 O
-2.1970 -0.7422 0.1343 P
0.7538 -2.1475 0.4648 P
0.0000 0.0000 0.0000 Cr
```

Summary:
SG: P4/mmm, No. 123
Formation energy without anion corrections: -0.78 eV per atom

Record 8
# CrSn3P6O24

A geometry-optimized CrSn3P6O24 structure (GGA-PBEsol, Alexandria via LeMat-Bulk).

Cell and atoms, written as POSCAR:
```
CrSn3P6O24
1.0
-7.3976 1.1131 -3.8995
-7.1937 -1.8847 3.9835
-5.2133 6.6401 2.6600
Sn P O Cr
3 6 24 1
Cartesian
-10.0525 5.8992 2.5034 Sn
-9.7495 -0.0796 0.2219 Sn
-5.0670 3.7530 1.5583 Sn
-9.5298 3.5946 4.8350 P
-7.6233 5.4252 0.2910 P
-12.3002 0.4359 2.4217 P
-12.8136 4.9118 0.9471 P
-10.1913 2.2981 -2.1785 P
-6.9536 0.9050 1.9023 P
-9.0770 5.3820 0.7841 O
-13.5084 3.5020 0.8716 O
-11.0255 3.3217 4.9342 O
-14.3189 4.9415 3.9148 O
-5.5521 0.9029 -1.1907 O
-13.8675 5.9681 1.2844 O
-12.2196 5.2974 -0.4018 O
-7.3880 0.5726 3.3751 O
-6.3893 2.3060 2.0019 O
-6.7006 4.8964 1.3820 O
-8.1918 0.9417 1.0158 O
-10.2842 1.5496 -0.8550 O
-9.2294 4.3300 3.5208 O
-16.1133 3.3619 0.8929 O
-10.9184 3.6183 -2.0386 O
-13.3925 1.0044 1.4460 O
-14.7504 2.6294 2.9933 O
-3.2252 0.3786 0.4925 O
-11.6894 4.7909 1.9862 O
-8.6980 2.7194 -2.4247 O
-12.3242 1.3998 3.5884 O
-5.9107 -0.1458 1.5100 O
-16.5357 5.4863 2.1927 O
-10.9375 0.5237 1.7466 O
-14.7404 2.1718 1.2072 Cr
```

Summary:
SG: R3, No. 146
Formation energy without anion corrections: -1.95 eV per atom

Record 9
# Ti3Cr2SnP6O24

A geometry-optimized Ti3Cr2SnP6O24 structure (GGA-PBEsol, Alexandria via LeMat-Bulk).

Cell and atoms, written as POSCAR:
```
Ti3Cr2SnP6O24
1.0
8.6167 0.0000 0.0000
4.3083 7.4623 0.0000
4.3083 2.4874 7.0261
O Sn P Ti Cr
24 1 6 3 2
Cartesian
12.0929 6.0539 6.5096 O
7.7601 1.5375 3.9717 O
7.1206 4.8457 1.8731 O
12.0218 5.9517 3.9717 O
7.7858 6.2193 5.2027 O
12.1214 8.8872 6.5096 O
9.5106 1.2297 1.6024 O
10.1099 5.0723 5.2027 O
14.5609 7.4458 6.5096 O
5.1274 3.9431 3.0302 O
4.9263 6.0733 1.6024 O
5.1836 3.8911 0.5048 O
11.4131 7.6216 1.6024 O
12.3077 3.8566 5.3855 O
5.8027 2.3374 5.3855 O
9.4678 8.5125 3.0302 O
9.2529 6.3351 1.8731 O
7.9545 3.6330 5.2027 O
5.0863 1.0277 0.5048 O
9.4766 3.7438 1.8731 O
7.7396 8.7305 5.3855 O
11.2549 2.4689 3.0302 O
6.0682 7.4353 3.9717 O
2.6552 2.5436 0.5048 O
12.9250 7.4623 3.0311 Sn
6.8604 7.4575 5.2882 P
9.8574 7.7571 1.7603 P
11.6449 5.2546 5.2882 P
10.4058 2.5093 1.7603 P
7.3448 2.2125 5.2882 P
5.5869 4.6582 1.7603 P
4.3084 2.4874 3.9961 Ti
8.6167 4.9749 6.5588 Ti
8.6167 4.9749 0.5055 Ti
4.3083 2.4874 6.9659 Cr
8.6167 4.9749 3.5393 Cr
```

Summary:
SG: R3, No. 146
Formation energy without anion corrections: -2.25 eV per atom

Record 10
# V3CrSn2P6O24

A geometry-optimized V3CrSn2P6O24 structure (GGA-PBEsol, Alexandria via LeMat-Bulk).

Cell and atoms, written as POSCAR:
```
V3CrSn2P6O24
1.0
-5.0111 4.0781 5.3717
-8.1573 -1.9625 0.4514
-2.8786 -4.3654 7.2001
O P V Sn Cr
24 6 3 2 1
Cartesian
-8.9070 -2.8620 2.7702 O
-9.0158 -0.8265 4.2362 O
-6.9802 0.5663 4.9942 O
-10.9351 -3.4049 9.6292 O
-13.3225 -2.8426 10.8571 O
-7.1340 0.5823 10.3424 O
-4.9929 -0.8124 1.4798 O
-10.4643 -2.7041 4.8065 O
-9.0776 -2.8231 8.0417 O
-11.0627 -1.4508 11.5498 O
-5.1083 1.1559 3.4107 O
-11.2430 -3.8614 7.2384 O
-4.6484 -3.6037 5.5922 O
-11.1139 -1.4290 7.9911 O
-7.0190 -1.4229 8.8003 O
-4.8159 1.5282 5.8277 O
-6.9741 -3.7551 4.5590 O
-5.0246 -0.8912 4.9916 O
-2.7123 0.5809 2.1680 O
-6.7469 -3.2468 6.9636 O
-11.3415 1.2945 7.4772 O
-5.6036 0.5373 8.3039 O
-9.2946 0.9797 6.0577 O
-8.9602 1.4909 8.4190 O
-9.8992 1.7853 7.2466 P
-9.8541 -1.9783 3.6049 P
-10.6058 -2.8492 8.2384 P
-6.2016 -0.2862 9.4442 P
-6.1292 -4.0451 5.7992 P
-5.4352 0.5698 4.7921 P
-12.5030 -0.1179 8.1395 V
-7.3579 -3.3588 8.8284 V
-8.6921 1.1189 4.1843 V
-8.0444 -1.0548 6.4388 Sn
-2.9249 -4.2098 7.0387 Sn
-3.5559 -2.0923 4.8425 Cr
```

Summary:
SG: R3, No. 146
Formation energy without anion corrections: -2.14 eV per atom

Record 11
# SrZnCrP2O8

A geometry-optimized SrZnCrP2O8 structure (GGA-PBEsol, Alexandria via LeMat-Bulk).

Cell and atoms, written as POSCAR:
```
SrZnCrP2O8
1.0
-1.9954 4.8711 1.8228
-5.7833 -3.2298 -1.0108
4.0606 -3.3297 7.5578
P Zn Sr O Cr
4 2 2 16 2
Cartesian
-1.4553 -1.4448 6.3275 P
-2.2628 -0.2436 2.0423 P
-0.6083 3.0112 3.7167 P
-3.1098 -4.6996 4.6531 P
-3.9718 1.6880 3.9368 Zn
0.2537 -3.3764 4.4330 Zn
-4.8862 -1.5279 0.0949 Sr
1.1681 -0.1604 8.2749 Sr
-1.1879 -0.2382 5.3379 O
1.4507 -0.5138 5.5367 O
-2.4630 -0.8479 0.6477 O
-1.8345 2.4159 4.4852 O
-1.8836 -4.1043 3.8846 O
-0.8120 0.2114 2.2962 O
-2.5302 -1.4501 3.0319 O
-5.1688 -1.1746 2.8331 O
-1.2551 -0.8405 7.7221 O
-2.9061 -1.8998 6.0736 O
-0.4851 -2.6392 6.0968 O
-6.7020 0.0173 1.2394 O
-3.2330 0.9508 2.2730 O
0.2925 2.0451 6.7558 O
-4.0106 -3.7335 1.6140 O
2.9839 -1.7057 7.1304 O
0.2298 -0.2673 3.9560 Cr
-3.9479 -1.4210 4.4138 Cr
```

Summary:
SG: P-1, No. 2
Formation energy without anion corrections: -2.23 eV per atom

Record 12
# TiCrP3O12

A geometry-optimized TiCrP3O12 structure (GGA-PBEsol, Alexandria via LeMat-Bulk).

Cell and atoms, written as POSCAR:
```
TiCrP3O12
1.0
8.4709 0.0000 0.0000
4.2354 7.3360 0.0000
4.2354 2.4453 7.1072
O Cr Ti P
24 2 2 6
Cartesian
7.5483 6.2179 5.4774 O
8.9673 8.3264 3.0391 O
4.9054 3.8407 0.5312 O
12.0363 8.7313 4.0848 O
7.4788 8.6934 5.1934 O
14.2145 7.6335 6.5927 O
5.6737 2.1302 5.1934 O
9.4629 3.8027 1.6398 O
5.1088 1.1674 0.5312 O
11.8329 6.0581 4.0848 O
5.2472 3.6027 3.0391 O
11.6945 8.4934 6.5927 O
7.0326 4.5755 1.6398 O
2.6921 2.3279 0.5312 O
4.9236 5.8734 1.9238 O
12.2099 5.8811 6.5927 O
10.0816 5.0260 5.4774 O
11.1981 2.7429 3.0391 O
14.2497 7.2185 4.0848 O
7.7827 3.4280 5.4774 O
11.0956 7.4714 1.9238 O
12.2601 3.8485 5.1934 O
8.9170 6.2938 1.6398 O
9.3935 1.3272 1.9238 O
4.2354 2.4453 4.1221 Cr
8.4709 4.8907 0.5685 Cr
8.4709 4.8907 6.4877 Ti
12.7063 7.3360 2.9341 Ti
5.4904 4.4633 1.7795 P
9.5911 7.6855 1.7795 P
11.5861 5.2402 5.3331 P
6.6105 7.4138 5.3331 P
10.3312 2.5231 1.7795 P
7.2159 2.0180 5.3331 P
```

Summary:
SG: R3c, No. 161
Formation energy without anion corrections: -2.21 eV per atom

Q: Which value of formation energy without anion corrections does entry 12 give?
A: -2.21 eV per atom

Q: Among the records above, which one has the highest formation energy without anion corrections?
A: CrSbPO2

Q: Among the records above, which one has the lowest formation energy without anion corrections?
A: Ti3Cr2SnP6O24

Q: What is the formula in the fifth record?
A: V3CrSb2P6O24